HfWF2 after structural relaxation, computed with PBE+U.

The structure belongs to space group R-3m (No. 166, hexagonal axes); the cell edges are 3.1720, 3.1720 and 28.3304 Å and the angles 90.00°, 90.00° and 120.00°. The inequivalent atoms are Hf at (0.0000, 0.0000, 0.0000), W at (0.0000, 0.0000, 0.5000) and F at (0.0000, 0.0000, 0.0685).

The uncorrected energy comes out at -75.32 eV for the cell shown. The density comes out at 8.08 g/cm³.